(1)
A plane-wave DFT calculation with GGA-PBE was carried out for a relaxed NbPd2Au3 crystal.

Geometry as POSCAR:
```
NbPd2Au3
1.0
9.395 -1.417 0.000
9.395 1.417 0.000
-2.659 0.000 7.928
Nb Pd Au
2 4 6
Cartesian
3.303 0.000 0.406
12.828 0.000 7.522
2.659 0.000 2.954
5.745 0.000 6.885
10.386 0.000 1.043
13.472 0.000 4.974
-0.036 0.000 3.448
1.708 0.000 5.702
7.555 0.000 1.655
8.575 0.000 6.274
14.423 0.000 2.227
16.166 0.000 4.481
```

Total magnetic moment ... 0.0 Bohr magnetons per cell
Relative energy among the computed polymorphs ... 0 meV/atom
DFT formation energy ... -0.07 eV per atom
Space-group type ... C2/m (12)
Density of states at the Fermi level ... 4.46 states/eV/f.u.


(2)
A plane-wave DFT calculation with GGA-PBE was carried out for a relaxed NbPd4Au3 crystal.

Geometry as POSCAR:
```
NbPd4Au3
1.0
4.073 0.000 0.000
0.000 4.073 0.000
0.000 0.000 16.012
Nb Pd Au
2 8 6
Cartesian
0.000 0.000 0.000
2.037 2.037 8.006
0.000 2.037 1.902
0.000 2.037 6.104
0.000 2.037 9.908
0.000 2.037 14.110
2.037 0.000 1.902
2.037 0.000 6.104
2.037 0.000 9.908
2.037 0.000 14.110
0.000 0.000 4.067
0.000 0.000 8.006
0.000 0.000 11.944
2.037 2.037 0.000
2.037 2.037 3.938
2.037 2.037 12.073
```

Total magnetic moment ... 0.0 Bohr magnetons per cell
DFT formation energy ... -0.23 eV per atom
Space-group type ... I4/mmm (139)
Density of states at the Fermi level ... 4.20 states/eV/f.u.


Number 2 is which compound? NbPd4Au3